Record 1
This record from Alexandria via LeMat-Bulk describes a geometry-optimized Ho4Tl2CdAu structure. The functional is PBE-GGA.

The structure in CIF format:
```
data_Ho4Tl2CdAu
_chemical_formula_sum 'Ho12 Tl6 Cd3 Au3'
_cell_length_a 5.2657
_cell_length_b 5.2657
_cell_length_c 25.6955
_cell_angle_alpha 90.00
_cell_angle_beta 90.00
_cell_angle_gamma 120.00
_space_group_name_H-M_alt 'R -3 m'
_space_group_IT_number 166
_space_group_name_Hall '-R 3 2"'
loop_
_atom_site_label
_atom_site_type_symbol
_atom_site_fract_x
_atom_site_fract_y
_atom_site_fract_z
Ho1 Ho 0.0000 0.0000 0.1192
Ho2 Ho 0.0000 0.0000 0.3702
Tl1 Tl 0.0000 0.0000 0.2448
Cd1 Cd 0.0000 0.0000 0.5000
Au1 Au 0.0000 0.0000 0.0000
```

Calculated values
For the magnetic moment, the calculation gives 0.000 μB/atom. Its formation energy is -10.5 kcal/mol of atoms.

---

Record 2
This record from Alexandria via LeMat-Bulk describes a geometry-optimized Hf3CdC structure. The functional is PBE-GGA.

The structure in CIF format:
```
data_Hf3CdC
_chemical_formula_sum 'Hf6 Cd2 C2'
_cell_length_a 3.256
_cell_length_b 10.155
_cell_length_c 6.079
_cell_angle_alpha 90.00
_cell_angle_beta 105.53
_cell_angle_gamma 90.00
_space_group_name_H-M_alt 'P 1 21/m 1'
_space_group_IT_number 11
_space_group_name_Hall '-P 2yb'
loop_
_atom_site_label
_atom_site_type_symbol
_atom_site_fract_x
_atom_site_fract_y
_atom_site_fract_z
Hf1 Hf 0.139 0.028 0.279
Hf2 Hf 0.241 0.750 0.480
Cd1 Cd 0.485 0.250 0.972
C1 C 0.138 0.250 0.278
```

Calculated values
For the magnetic moment, the calculation gives 0.000 μB/atom. The calculation puts the energy above the most stable polymorph in this dataset at 0.433 eV/atom. Its formation energy is 0.0 kcal/mol of atoms.

---

Record 3
This record from Alexandria via LeMat-Bulk describes a geometry-optimized CaCo2Ag structure. The functional is PBE-GGA.

The structure in CIF format:
```
data_CaCo2Ag
_chemical_formula_sum 'Ca1 Co2 Ag1'
_cell_length_a 3.978
_cell_length_b 3.978
_cell_length_c 4.172
_cell_angle_alpha 90.00
_cell_angle_beta 90.00
_cell_angle_gamma 90.00
_space_group_name_H-M_alt 'P 4/m m m'
_space_group_IT_number 123
_space_group_name_Hall '-P 4 2'
loop_
_atom_site_label
_atom_site_type_symbol
_atom_site_fract_x
_atom_site_fract_y
_atom_site_fract_z
Ca1 Ca 0.000 0.000 0.000
Co1 Co 0.000 0.500 0.500
Ag1 Ag 0.500 0.500 0.000
```

Calculated values
For the magnetic moment, the calculation gives 0.655 μB/atom. Its formation energy is 10.0 kcal/mol of atoms.

---

Record 4
This record from Alexandria via LeMat-Bulk describes a geometry-optimized Sc3CdC structure. The functional is PBE-GGA.

The structure in CIF format:
```
data_Sc3CdC
_chemical_formula_sum 'Sc3 Cd1 C1'
_cell_length_a 4.570
_cell_length_b 4.570
_cell_length_c 4.570
_cell_angle_alpha 90.00
_cell_angle_beta 90.00
_cell_angle_gamma 90.00
_space_group_name_H-M_alt 'P m -3 m'
_space_group_IT_number 221
_space_group_name_Hall '-P 4 2 3'
loop_
_atom_site_label
_atom_site_type_symbol
_atom_site_fract_x
_atom_site_fract_y
_atom_site_fract_z
Sc1 Sc 0.000 0.000 0.500
Cd1 Cd 0.500 0.500 0.500
C1 C 0.000 0.000 0.000
```

Calculated values
For the magnetic moment, the calculation gives 0.185 μB/atom. The calculation puts the energy above the most stable polymorph in this dataset at 0.000 eV/atom. Its formation energy is -10.7 kcal/mol of atoms.

---

Record 5
This record from Alexandria via LeMat-Bulk describes a geometry-optimized BeHgOs2 structure. The functional is PBE-GGA.

The structure in CIF format:
```
data_BeHgOs2
_chemical_formula_sum 'Be1 Hg1 Os2'
_cell_length_a 2.882
_cell_length_b 2.882
_cell_length_c 6.918
_cell_angle_alpha 90.00
_cell_angle_beta 90.00
_cell_angle_gamma 90.00
_space_group_name_H-M_alt 'P 4 m m'
_space_group_IT_number 99
_space_group_name_Hall 'P 4 -2'
loop_
_atom_site_label
_atom_site_type_symbol
_atom_site_fract_x
_atom_site_fract_y
_atom_site_fract_z
Be1 Be 0.000 0.000 0.000
Hg1 Hg 0.500 0.500 0.259
Os1 Os 0.000 0.000 0.572
Os2 Os 0.500 0.500 0.816
```

Calculated values
For the magnetic moment, the calculation gives 0.000 μB/atom. The calculation puts the energy above the most stable polymorph in this dataset at 0.000 eV/atom. Its formation energy is 6.2 kcal/mol of atoms.

---

Record 6
This record from Alexandria via LeMat-Bulk describes a geometry-optimized KHRu2 structure. The functional is PBE-GGA.

The structure in CIF format:
```
data_KHRu2
_chemical_formula_sum 'K4 H4 Ru8'
_cell_length_a 6.344
_cell_length_b 6.344
_cell_length_c 6.344
_cell_angle_alpha 90.00
_cell_angle_beta 90.00
_cell_angle_gamma 90.00
_space_group_name_H-M_alt 'F m -3 m'
_space_group_IT_number 225
_space_group_name_Hall '-F 4 2 3'
loop_
_atom_site_label
_atom_site_type_symbol
_atom_site_fract_x
_atom_site_fract_y
_atom_site_fract_z
K1 K 0.000 0.000 0.000
H1 H 0.000 0.000 0.500
Ru1 Ru 0.250 0.250 0.250
```

Calculated values
For the magnetic moment, the calculation gives 0.922 μB/atom. The calculation puts the energy above the most stable polymorph in this dataset at 1.333 eV/atom.

---

Record 7
This record from Alexandria via LeMat-Bulk describes a geometry-optimized SrTlZn2Ir structure. The functional is PBE-GGA.

The structure in CIF format:
```
data_SrTlZn2Ir
_chemical_formula_sum 'Sr1 Tl1 Zn2 Ir1'
_cell_length_a 4.935
_cell_length_b 4.935
_cell_length_c 5.202
_cell_angle_alpha 90.00
_cell_angle_beta 90.00
_cell_angle_gamma 90.00
_space_group_name_H-M_alt 'P 4/m m m'
_space_group_IT_number 123
_space_group_name_Hall '-P 4 2'
loop_
_atom_site_label
_atom_site_type_symbol
_atom_site_fract_x
_atom_site_fract_y
_atom_site_fract_z
Sr1 Sr 0.000 0.000 0.000
Tl1 Tl 0.500 0.500 0.000
Zn1 Zn 0.000 0.500 0.500
Ir1 Ir 0.500 0.500 0.500
```

Calculated values
For the magnetic moment, the calculation gives 0.000 μB/atom. Its formation energy is -3.8 kcal/mol of atoms.

---

Record 8
This record from Alexandria via LeMat-Bulk describes a geometry-optimized AlTc2SeI structure. The functional is PBE-GGA.

The structure in CIF format:
```
data_AlTc2SeI
_chemical_formula_sum 'Al1 Tc2 Se1 I1'
_cell_length_a 4.918
_cell_length_b 4.918
_cell_length_c 5.682
_cell_angle_alpha 90.00
_cell_angle_beta 90.00
_cell_angle_gamma 90.00
_space_group_name_H-M_alt 'P 4/m m m'
_space_group_IT_number 123
_space_group_name_Hall '-P 4 2'
loop_
_atom_site_label
_atom_site_type_symbol
_atom_site_fract_x
_atom_site_fract_y
_atom_site_fract_z
Al1 Al 0.000 0.000 0.000
Tc1 Tc 0.000 0.500 0.500
Se1 Se 0.500 0.500 0.000
I1 I 0.500 0.500 0.500
```

Calculated values
For the magnetic moment, the calculation gives 0.790 μB/atom.

---

no.,total energy (eV per formula unit)
1,-30.9
2,-40.0
3,-17.3
4,-31.5
5,-25.4
6,-14.4
7,-16.3
8,-20.3